VASP calculation (GGA-PBEsol) on crystalline FeCu2Cl at its relaxed geometry.

Calculated values
* E_form (uncorrected): 0.3149 eV per atom
* ΔE to the lowest computed polymorph: 0 meV/atom

The structure in CIF format:
```
data_FeCu2Cl
_chemical_formula_sum 'Fe2 Cu4 Cl2'
_symmetry_space_group_name_H-M 'I m m 2'
_symmetry_Int_Tables_number 44
_cell_length_a 2.7575
_cell_length_b 3.7764
_cell_length_c 11.3103
_cell_angle_alpha 90.00
_cell_angle_beta 90.00
_cell_angle_gamma 90.00
loop_
_symmetry_equiv_pos_as_xyz
'x,y,z'
'-x,-y,z'
'-x,y,z'
'x,-y,z'
'x+1/2,y+1/2,z+1/2'
'-x+1/2,-y+1/2,z+1/2'
'-x+1/2,y+1/2,z+1/2'
'x+1/2,-y+1/2,z+1/2'
loop_
_atom_site_label
_atom_site_fract_x
_atom_site_fract_y
_atom_site_fract_z
Fe1 0.0000 0.0000 0.0000
Cu1 0.0000 0.0000 0.5663
Cu2 0.0000 0.5000 0.6936
Cl1 0.0000 0.5000 0.3331
```